Ca2CoNi3P4 | Alexandria | PBE | relaxed; VASP energy = -5.80 eV/atom
1.0
3.959 0.000 0.000
0.000 3.959 0.000
0.000 0.000 9.279
Ca Co Ni P
2 1 3 4
Direct
0.000 0.500 0.247 Ca
0.500 0.000 0.753 Ca
0.000 0.000 0.500 Co
0.000 0.500 0.880 Ni
0.500 0.000 0.120 Ni
0.500 0.500 0.500 Ni
0.000 0.000 0.000 P
0.000 0.500 0.631 P
0.500 0.000 0.369 P
0.500 0.500 0.000 P